DFT (PBE) results for a relaxed structure of MnPPd2.

Symmetry: I-42d
ρ, Mg/m³: 8.0

Cell: 3.7819 3.7819 9.1224 Å, 78.04 78.04 90.00°
Last column: nearest neighbours and their distance in Å.
Atoms (fractional coordinates):
Pd 0.1347 0.6250 0.2500  2 P 2.54, 2 Mn 2.57, 4 Pd 2.62-2.73
Pd 0.6153 0.1250 0.2500  2 P 2.54, 2 Mn 2.57, 4 Pd 2.62-2.73
Pd 0.3750 0.3847 0.7500  2 P 2.54, 2 Mn 2.57, 4 Pd 2.62-2.73
Pd 0.8750 0.8653 0.7500  2 P 2.54, 2 Mn 2.57, 4 Pd 2.62-2.73
Mn 0.7500 0.2500 0.5000  4 Pd 2.57, 4 P 2.67
Mn 0.0000 0.0000 0.0000  4 Pd 2.57, 4 P 2.67
P 0.5000 0.5000 0.0000  4 Pd 2.54, 4 Mn 2.67
P 0.2500 0.7500 0.5000  4 Pd 2.54, 4 Mn 2.67



DFT (PBE) results for a relaxed structure of TlReP2.

Excess energy over the best structure of this formula in the dataset, meV/atom: 31.1
Symmetry: Cm
ρ, Mg/m³: 9.1

Cell: 4.4012 4.4012 6.6112 Å, 76.31 76.31 41.73°
Last column: nearest neighbours and their distance in Å.
Atoms (fractional coordinates):
P 0.8286 0.8286 0.6345  3 Re 2.37, 1 P 2.64
P 0.9760 0.9760 0.9458  2 Re 2.35
Re 0.5347 0.5347 0.6720  5 P 2.35-2.37
Tl 0.1607 0.1607 0.2477  1 P 2.80



Number 1: DFT formation energy -77 meV/atom, calculated volume 124.7 Å³/cell. Number 2: DFT formation energy 42 meV/atom, calculated volume 82.5 Å³/cell.